(1)
VASP calculation (PBE) on MgBr after structural relaxation.

crystal system = monoclinic
raw formation energy = -845 meV/atom
SG = No. 8

Cell lengths 6.992, 6.992, 9.419 Å; angles 131.36, 131.36, 31.03 degrees
Element x y z (fractional)
Mg: 0.000 0.000 0.000
Mg: 0.637 0.637 0.914
Mg: 0.860 0.860 0.563
Br: 0.164 0.164 0.395
Br: 0.319 0.319 0.977
Br: 0.484 0.484 0.525

=====

(2)
VASP calculation (PBE) on Mg5In2Pd12 after structural relaxation.

E_form = -533 meV/atom
crystal system = monoclinic
SG = No. 12

Cell lengths 7.656, 7.656, 6.132 Å; angles 93.37, 93.37, 62.76 degrees
Element x y z (fractional)
Mg: 0.000 0.000 0.000
Mg: 0.245 0.245 0.020
Mg: 0.337 0.337 0.580
Mg: 0.663 0.663 0.420
Mg: 0.755 0.755 0.980
In: 0.220 0.780 0.500
In: 0.780 0.220 0.500
Pd: 0.041 0.564 0.298
Pd: 0.144 0.144 0.375
Pd: 0.175 0.620 0.904
Pd: 0.380 0.825 0.096
Pd: 0.436 0.959 0.702
Pd: 0.455 0.455 0.237
Pd: 0.545 0.545 0.763
Pd: 0.564 0.041 0.298
Pd: 0.620 0.175 0.904
Pd: 0.825 0.380 0.096
Pd: 0.856 0.856 0.625
Pd: 0.959 0.436 0.702

=====

(3)
VASP calculation (PBE) on NdYNiRh after structural relaxation.

E_form = -568 meV/atom
crystal system = orthorhombic
energy relative to the lowest polymorph listed for this composition = 0.00 kJ/mol of atoms
SG = No. 38

Cell lengths 4.137, 5.749, 5.749 Å; angles 39.74, 90.00, 90.00 degrees
Element x y z (fractional)
Nd: 0.000 0.000 0.000
Y: 0.500 0.282 0.282
Ni: 0.500 0.568 0.568
Rh: 0.000 0.722 0.722

=====

(4)
VASP calculation (PBE) on Rb3Na2TcO6 after structural relaxation.

crystal system = monoclinic
raw formation energy = -1439 meV/atom
SG = No. 12

Cell lengths 6.047, 6.047, 6.482 Å; angles 98.68, 98.68, 120.05 degrees
Element x y z (fractional)
Rb: 0.000 0.000 0.000
Rb: 0.326 0.674 0.000
Rb: 0.674 0.326 0.000
Na: 0.166 0.834 0.500
Na: 0.834 0.166 0.500
Tc: 0.500 0.500 0.500
O: 0.177 0.440 0.325
O: 0.300 0.300 0.683
O: 0.440 0.177 0.325
O: 0.560 0.823 0.675
O: 0.700 0.700 0.317
O: 0.823 0.560 0.675

=====

(5)
VASP calculation (PBE) on PmThZnRe after structural relaxation.

E_form = 36 meV/atom
crystal system = cubic
SG = No. 216

Cell lengths 5.093, 5.093, 5.093 Å; angles 60.00, 60.00, 60.00 degrees
Element x y z (fractional)
Pm: 0.000 0.000 0.000
Th: 0.500 0.500 0.500
Zn: 0.250 0.250 0.250
Re: 0.750 0.750 0.750

=====

(6)
VASP calculation (PBE) on FeBAs3 after structural relaxation.

E_form = 1187 meV/atom
crystal system = cubic
energy relative to the lowest polymorph listed for this composition = 6.38 kJ/mol of atoms
SG = No. 221

Cell lengths 4.514, 4.514, 4.514 Å; angles 90.00, 90.00, 90.00 degrees
Element x y z (fractional)
Fe: 0.000 0.000 0.000
B: 0.500 0.500 0.500
As: 0.000 0.000 0.500
As: 0.000 0.500 0.000
As: 0.500 0.000 0.000

=====

(7)
VASP calculation (PBE) on Sm3Al5Se12 after structural relaxation.

crystal system = cubic
raw formation energy = -1229 meV/atom
SG = No. 230

Cell lengths 13.744, 13.744, 13.744 Å; angles 109.47, 109.47, 109.47 degrees
Element x y z (fractional)
Sm: 0.125 0.250 0.375
Sm: 0.125 0.375 0.750
Sm: 0.250 0.375 0.125
Sm: 0.250 0.875 0.625
Sm: 0.375 0.125 0.250
Sm: 0.375 0.750 0.125
Sm: 0.625 0.250 0.875
Sm: 0.625 0.875 0.750
Sm: 0.750 0.125 0.375
Sm: 0.750 0.625 0.875
Sm: 0.875 0.625 0.250
Sm: 0.875 0.750 0.625
Al: 0.000 0.000 0.000
Al: 0.000 0.000 0.500
Al: 0.000 0.500 0.000
Al: 0.000 0.500 0.500
Al: 0.125 0.750 0.875
Al: 0.125 0.875 0.250
Al: 0.250 0.125 0.875
Al: 0.250 0.625 0.375
Al: 0.375 0.250 0.625
Al: 0.375 0.625 0.750
Al: 0.500 0.000 0.000
Al: 0.500 0.000 0.500
Al: 0.500 0.500 0.000
Al: 0.500 0.500 0.500
Al: 0.625 0.375 0.250
Al: 0.625 0.750 0.375
Al: 0.750 0.375 0.625
Al: 0.750 0.875 0.125
Al: 0.875 0.125 0.750
Al: 0.875 0.250 0.125
Se: 0.030 0.207 0.121
Se: 0.030 0.323 0.909
Se: 0.086 0.707 0.677
Se: 0.086 0.879 0.409
Se: 0.091 0.621 0.414
Se: 0.091 0.970 0.677
Se: 0.121 0.030 0.207
Se: 0.121 0.591 0.914
Se: 0.177 0.207 0.586
Se: 0.177 0.470 0.591
Se: 0.207 0.121 0.030
Se: 0.207 0.586 0.177
Se: 0.293 0.323 0.914
Se: 0.293 0.470 0.379
Se: 0.323 0.909 0.030
Se: 0.323 0.914 0.293
Se: 0.379 0.293 0.470
Se: 0.379 0.586 0.909
Se: 0.409 0.086 0.879
Se: 0.409 0.823 0.530
Se: 0.414 0.091 0.621
Se: 0.414 0.823 0.793
Se: 0.470 0.379 0.293
Se: 0.470 0.591 0.177
Se: 0.530 0.409 0.823
Se: 0.530 0.621 0.707
Se: 0.586 0.177 0.207
Se: 0.586 0.909 0.379
Se: 0.591 0.177 0.470
Se: 0.591 0.914 0.121
Se: 0.621 0.414 0.091
Se: 0.621 0.707 0.530
Se: 0.677 0.086 0.707
Se: 0.677 0.091 0.970
Se: 0.707 0.530 0.621
Se: 0.707 0.677 0.086
Se: 0.793 0.414 0.823
Se: 0.793 0.879 0.970
Se: 0.823 0.530 0.409
Se: 0.823 0.793 0.414
Se: 0.879 0.409 0.086
Se: 0.879 0.970 0.793
Se: 0.909 0.030 0.323
Se: 0.909 0.379 0.586
Se: 0.914 0.121 0.591
Se: 0.914 0.293 0.323
Se: 0.970 0.677 0.091
Se: 0.970 0.793 0.879

=====

(8)
VASP calculation (PBE) on SrY2Mg after structural relaxation.

E_form = 56 meV/atom
crystal system = tetragonal
SG = No. 123

Cell lengths 3.825, 3.825, 9.426 Å; angles 90.00, 90.00, 90.00 degrees
Element x y z (fractional)
Sr: 0.000 0.000 0.000
Y: 0.500 0.500 0.309
Y: 0.500 0.500 0.691
Mg: 0.000 0.000 0.500

=====

| no. | total magnetization (μB per cell) | V (A^3/atom) |
| --- | --- | --- |
| 1 | 0.00 | 28.79 |
| 2 | 0.00 | 16.78 |
| 3 | 0.00 | 21.85 |
| 4 | 0.00 | 16.30 |
| 5 | 0.00 | 23.35 |
| 6 | 0.00 | 18.40 |
| 7 | 0.00 | 24.98 |
| 8 | 0.00 | 34.48 |